Entry 1:
Below is a relaxed structure of AgI3N2, with properties calculated at the PBE level.

DFT total energy = -3.0287 eV/atom
formation energy from raw total energies = 0.997 eV/atom

Cell lengths 7.916, 10.387, 5.811 Å; angles 92.35, 53.57, 99.94 degrees
Positions (direct):
Ag  0.008  0.758  0.793
Ag  0.992  0.242  0.207
I  0.469  0.236  0.861
I  0.531  0.764  0.139
I  0.927  0.124  0.815
I  0.795  0.537  0.486
I  0.205  0.463  0.514
I  0.073  0.876  0.185
N  0.878  0.752  0.552
N  0.705  0.327  0.462
N  0.295  0.673  0.538
N  0.122  0.248  0.448

---

Entry 2:
Below is a relaxed structure of Ag2IN, with properties calculated at the PBE level.

DFT total energy = -3.1147 eV/atom
energy above the lowest structure with this stoichiometry = 0 meV/atom
formation energy from raw total energies = 0.780 eV/atom

Cell lengths 5.625, 5.625, 7.053 Å; angles 66.50, 66.50, 90.00 degrees
Positions (direct):
I  0.000  0.000  0.000
I  0.750  0.250  0.500
Ag  0.475  0.125  0.250
Ag  0.275  0.625  0.250
Ag  0.375  0.525  0.750
Ag  0.875  0.725  0.750
N  0.500  0.500  0.000
N  0.250  0.750  0.500

---

Entry 3:
Below is a relaxed structure of AgI2N2, with properties calculated at the PBE level.

DFT total energy = -2.6003 eV/atom
energy above the lowest structure with this stoichiometry = 1967 meV/atom
formation energy from raw total energies = 1.920 eV/atom

Cell lengths 5.834, 5.834, 4.139 Å; angles 90.00, 90.00, 90.00 degrees
Positions (direct):
I  0.000  0.500  0.000
I  0.500  0.000  0.000
Ag  0.000  0.000  0.000
N  0.500  0.500  0.500
N  0.000  0.000  0.500

---

Entry 4:
Below is a relaxed structure of AgI2N, with properties calculated at the PBE level.

DFT total energy = -2.1914 eV/atom
energy above the lowest structure with this stoichiometry = 437 meV/atom
formation energy from raw total energies = 1.378 eV/atom

Cell lengths 5.251, 5.251, 5.251 Å; angles 60.00, 60.00, 60.00 degrees
Positions (direct):
I  0.250  0.250  0.250
I  0.750  0.750  0.750
Ag  0.500  0.500  0.500
N  0.000  0.000  0.000

---

> Which value of formation energy from raw total energies does entry 4 give?

1.378 eV/atom